VASP calculation (PBE) on an optimized crystal structure of RbPuSnTe3.

Summary:
- Fermi-level density of states: 2.11 states/eV/atom
- Raw formation energy: -0.816 eV/atom
- Electronic total energy: -67.24 eV/cell

a = 9.5796 Å, b = 4.4931 Å, c = 11.9257 Å
α = 90.00°, β = 108.81°, γ = 90.00°
With the nearest neighbours (Å) after each atom.
Space group P2_1/m (No. 11)
Symmetry-distinct sites (fractional):
Rb 0.2239 0.2500 0.2675  7 Te 3.68-4.12, 1 Sn 3.85
Pu 0.3614 0.7500 0.8428  6 Te 3.09-3.16
Sn 0.1302 0.2500 0.5582  3 Te 2.88-3.01
Te 0.1167 0.2500 0.7962  1 Sn 2.88, 2 Pu 3.16
Te 0.3444 0.7500 0.5734  2 Sn 3.01, 1 Pu 3.16
Te 0.4029 0.7500 0.1110  3 Pu 3.09-3.11

***

VASP calculation (PBE) on an optimized crystal structure of SrHfMgIr2.

Summary:
- Fermi-level density of states: 1.12 states/eV/atom
- ΔE_f: 1.807 eV per atom
- Electronic total energy: -21.92 eV/cell

a = 4.9729 Å, b = 4.9729 Å, c = 4.8054 Å
α = 90.00°, β = 90.00°, γ = 90.00°
With the nearest neighbours (Å) after each atom.
Space group P4/mmm (No. 123)
Symmetry-distinct sites (fractional):
Sr 0.0000 0.0000 0.0000  2 Mg 2.40, 4 Ir 2.49
Hf 0.5000 0.5000 0.5000  8 Ir 3.46, 4 Mg 3.52
Mg 0.0000 0.0000 0.5000  2 Sr 2.40
Ir 0.0000 0.5000 0.0000  2 Sr 2.49

***

VASP calculation (PBE) on an optimized crystal structure of LiAl2InSe4.

Summary:
- Raw formation energy: -0.736 eV/atom
- Electronic total energy: -127.87 eV/cell

a = 7.9291 Å, b = 7.9304 Å, c = 14.1027 Å
α = 90.00°, β = 90.00°, γ = 90.00°
With the nearest neighbours (Å) after each atom.
Space group Fmm2 (No. 42)
Symmetry-distinct sites (fractional):
Li 0.0000 0.0000 0.0000  4 Se 2.76-2.77
Al 0.2500 0.2500 0.2496  4 Se 2.44
In 0.0000 0.0000 0.4994  4 Se 3.03
Se 0.0000 0.2260 0.8501  2 Al 2.44
Se 0.2263 0.0000 0.1491  2 Al 2.44

***

VASP calculation (PBE) on an optimized crystal structure of ZrMo2.

Summary:
- Fermi-level density of states: 0.90 states/eV/atom
- ΔE_f: 0.025 eV per atom
- Electronic total energy: -30.14 eV/cell

a = 4.5501 Å, b = 4.5501 Å, c = 2.9544 Å
α = 90.00°, β = 90.00°, γ = 120.00°
With the nearest neighbours (Å) after each atom.
Space group P-3m1 (No. 164)
Symmetry-distinct sites (fractional):
Zr 0.0000 0.0000 0.0000  6 Mo 2.83, 2 Zr 2.95
Mo 0.3333 0.6667 0.6456  5 Mo 2.76-2.95, 3 Zr 2.83

***

VASP calculation (PBE) on an optimized crystal structure of ScCdH.

Summary:
- Fermi-level density of states: 0.97 states/eV/atom
- Electronic total energy: -11.43 eV/cell

a = 3.3384 Å, b = 3.3384 Å, c = 5.1962 Å
α = 90.00°, β = 90.00°, γ = 120.00°
With the nearest neighbours (Å) after each atom.
Space group P3m1 (No. 156)
Symmetry-distinct sites (fractional):
Sc 0.0000 0.0000 0.0000  3 H 1.93
Cd 0.3333 0.6667 0.5009  6 H 3.21-3.26, 6 Sc 3.23-3.24, 6 Cd 3.34
H 0.6667 0.3333 0.0063  3 Sc 1.93

***

VASP calculation (PBE) on an optimized crystal structure of MgCoAu2.

Summary:
- Fermi-level density of states: 1.51 states/eV/atom
- ΔE_f: -0.030 eV per atom
- Electronic total energy: -61.49 eV/cell

a = 6.3985 Å, b = 6.3985 Å, c = 6.3985 Å
α = 90.00°, β = 90.00°, γ = 90.00°
With the nearest neighbours (Å) after each atom.
Space group F-43m (No. 216)
Symmetry-distinct sites (fractional):
Mg 0.0000 0.0000 0.0000  4 Co 2.77, 4 Au 2.77
Co 0.2500 0.2500 0.2500  4 Mg 2.77, 4 Au 2.77
Au 0.0000 0.0000 0.5000  4 Co 2.77, 4 Au 2.77
Au 0.2500 0.2500 0.7500  4 Mg 2.77, 4 Au 2.77

***

VASP calculation (PBE) on an optimized crystal structure of P2WAuCl.

Summary:
- Fermi-level density of states: 0.93 states/eV/atom
- Raw formation energy: 1.631 eV/atom
- Electronic total energy: -20.74 eV/cell

a = 4.8296 Å, b = 4.8296 Å, c = 4.7490 Å
α = 90.00°, β = 90.00°, γ = 90.00°
With the nearest neighbours (Å) after each atom.
Space group P4/mmm (No. 123)
Symmetry-distinct sites (fractional):
P 0.0000 0.5000 0.0000  2 Au 2.41
W 0.0000 0.0000 0.5000  8 P 3.39, 4 Cl 3.42
Au 0.5000 0.5000 0.0000  2 Cl 2.37, 4 P 2.41
Cl 0.5000 0.5000 0.5000  2 Au 2.37

***

VASP calculation (PBE) on an optimized crystal structure of NdSm2Cu.

Summary:
- Fermi-level density of states: 1.13 states/eV/atom
- ΔE_f: -0.066 eV per atom
- Electronic total energy: -74.27 eV/cell

a = 6.9793 Å, b = 10.0833 Å, c = 6.5813 Å
α = 90.00°, β = 90.00°, γ = 90.00°
With the nearest neighbours (Å) after each atom.
Space group Pnma (No. 62)
Symmetry-distinct sites (fractional):
Nd 0.0179 0.2500 0.1388  2 Cu 2.96-2.98
Sm 0.1888 0.0583 0.6755  2 Cu 2.89-2.94
Cu 0.1030 0.7500 0.4298  4 Sm 2.89-2.94, 2 Nd 2.96-2.98

***

VASP calculation (PBE) on an optimized crystal structure of Pt2PbBr.

Summary:
- Fermi-level density of states: 1.06 states/eV/atom
- Raw formation energy: 0.204 eV/atom
- Electronic total energy: -33.29 eV/cell

a = 3.6058 Å, b = 4.9021 Å, c = 11.2466 Å
α = 90.00°, β = 90.00°, γ = 90.00°
With the nearest neighbours (Å) after each atom.
Space group Imm2 (No. 44)
Symmetry-distinct sites (fractional):
Pt 0.0000 0.0000 0.0000  2 Pt 2.62, 2 Br 2.63
Pt 0.0000 0.5000 0.3314  2 Pt 2.62, 2 Pb 2.86
Pb 0.0000 0.0000 0.4617  6 Pt 2.86-3.07
Br 0.0000 0.5000 0.6707  2 Pt 2.63

***

VASP calculation (PBE) on an optimized crystal structure of Rb2NpRhO6.

Summary:
- Fermi-level density of states: 0.39 states/eV/atom
- Raw formation energy: -1.853 eV/atom
- Electronic total energy: -141.02 eV/cell

a = 5.7445 Å, b = 5.7445 Å, c = 10.7098 Å
α = 90.00°, β = 90.00°, γ = 90.00°
With the nearest neighbours (Å) after each atom.
Space group I4/mmm (No. 139)
Symmetry-distinct sites (fractional):
Rb 0.0000 0.5000 0.2500  4 O 2.98
Np 0.0000 0.0000 0.0000  2 O 1.89
Rh 0.0000 0.0000 0.5000  4 O 1.94
O 0.0000 0.0000 0.1761  1 Np 1.89
O 0.2383 0.2383 0.5000  1 Rh 1.94, 1 Np 2.13

***

VASP calculation (PBE) on an optimized crystal structure of Y2ZrHgN.

Summary:
- Fermi-level density of states: 0.43 states/eV/atom
- Raw formation energy: -0.880 eV/atom
- Electronic total energy: -34.51 eV/cell

a = 4.7897 Å, b = 4.7897 Å, c = 4.5494 Å
α = 90.00°, β = 90.00°, γ = 90.00°
With the nearest neighbours (Å) after each atom.
Space group P4/mmm (No. 123)
Symmetry-distinct sites (fractional):
Y 0.0000 0.5000 0.0000  2 N 2.39
Zr 0.0000 0.0000 0.5000  2 N 2.27
Hg 0.5000 0.5000 0.5000  8 Y 3.30, 4 Zr 3.39
N 0.0000 0.0000 0.0000  2 Zr 2.27, 4 Y 2.39

***

Q: electronic total energy of number 4 (ZrMo2)?
A: -30.14 eV/cell